No. 1
# SmHoAs2

An optimized crystal structure of SmHoAs2 (PBE-GGA, Alexandria via LeMat-Bulk).

Cell: 4.1222 4.1222 7.4640 Å, 73.97 73.97 60.00°
Fractional coordinates of all 4 atoms:
Sm1 0.6692 0.6692 0.9925
Ho1 0.4978 0.4978 0.5067
As1 0.2488 0.2488 0.2536
As2 0.0843 0.0843 0.7472

Values from the calculation:
The formation energy comes out at -1363 meV per atom. The energy above the most stable polymorph in this dataset comes out at 162 meV per atom. Its total magnetization is 0.00 Bohr magnetons per cell.

***

No. 2
# Sm3HoAs4

An optimized crystal structure of Sm3HoAs4 (PBE-GGA, Alexandria via LeMat-Bulk).

Cell: 4.1896 7.2497 7.2497 Å, 109.47 90.00 90.00°
Fractional coordinates of all 8 atoms:
As1 0.0000 0.7546 0.7546
As2 0.5000 0.7524 0.2476
As3 0.5000 0.2476 0.7524
As4 0.0000 0.2454 0.2454
Ho1 0.5000 0.0000 0.0000
Sm1 0.5000 0.5000 0.5000
Sm2 0.0000 0.0000 0.5000
Sm3 0.0000 0.5000 0.0000

Values from the calculation:
The formation energy comes out at -1525 meV per atom. Its total magnetization is 0.00 Bohr magnetons per cell.

***

No. 3
# SmHo4As5

An optimized crystal structure of SmHo4As5 (PBE-GGA, Alexandria via LeMat-Bulk).

Cell: 4.1245 5.8308 10.9063 Å, 105.50 100.90 90.00°
Fractional coordinates of all 10 atoms:
Ho1 0.7988 0.7988 0.5977
Ho2 0.3995 0.3995 0.7991
Ho3 0.2012 0.2012 0.4023
Ho4 0.6005 0.6005 0.2009
As1 0.0000 0.5000 0.0000
As2 0.8003 0.3003 0.6006
As3 0.3974 0.8974 0.7947
As4 0.1997 0.6997 0.3994
As5 0.6026 0.1026 0.2053
Sm1 0.0000 0.0000 0.0000

Values from the calculation:
The formation energy comes out at -1525 meV per atom. Its total magnetization is 0.00 Bohr magnetons per cell.

***

No. 4
# SmHoAs

An optimized crystal structure of SmHoAs (PBE-GGA, Alexandria via LeMat-Bulk).

Cell: 6.5551 3.9928 3.9928 Å, 120.00 90.00 90.00°
Fractional coordinates of all 3 atoms:
Ho1 0.0760 0.0000 0.0000
As1 0.3276 0.3333 0.6667
Sm1 0.5964 0.6667 0.3333

Values from the calculation:
The formation energy comes out at -845 meV per atom. Its total magnetization is 0.97 Bohr magnetons per cell.